DFT (GGA-PBE) results for ReTcOsRh after structural relaxation.

```
ReTcOsRh
1.0
2.7357 0.0000 0.0000
0.0000 4.3677 0.0000
0.0000 0.0000 10.4853
Re Tc Os Rh
2 2 2 2
Direct
0.0000 0.0000 0.0000 Re
0.5000 0.5000 0.5000 Re
0.0000 0.5000 0.2744 Tc
0.5000 0.0000 0.7744 Tc
0.0000 0.5000 0.7070 Os
0.5000 0.0000 0.2070 Os
0.0000 0.0000 0.4420 Rh
0.5000 0.5000 0.9420 Rh
```

The calculation puts the formation energy at 0.273 eV per atom.



DFT (GGA-PBE) results for VRe2OsRh after structural relaxation.

```
VRe2OsRh
1.0
4.6024 0.0000 0.0000
0.0000 4.6024 0.0000
0.0000 0.0000 4.3573
V Re Os Rh
1 2 1 1
Direct
0.0000 0.0000 0.0000 V
0.0000 0.5000 0.5000 Re
0.5000 0.0000 0.5000 Re
0.5000 0.5000 0.0000 Os
0.0000 0.0000 0.5000 Rh
```

The calculation puts the formation energy at 2.145 eV per atom.



| no. | calculated density (g/cm3) |
| --- | --- |
| 1 | 15.30 |
| 2 | 12.89 |